# CaZn6Ni4 PBE-GGA relaxed
data_CaZn6Ni4
_chemical_formula_sum 'Ca2 Zn12 Ni8'
_symmetry_space_group_name_H-M 'I -4 2 m'
_symmetry_Int_Tables_number 121
_symmetry_space_group_name_Hall 'I -4 2'
_cell_length_a 6.309
_cell_length_b 6.309
_cell_length_c 8.968
_cell_angle_alpha 90.00
_cell_angle_beta 90.00
_cell_angle_gamma 90.00
loop_
_atom_site_label
_atom_site_type_symbol
_atom_site_fract_x
_atom_site_fract_y
_atom_site_fract_z
Ca1 Ca 0.000 0.000 0.000
Zn1 Zn 0.000 0.500 0.000
Zn2 Zn 0.195 0.195 0.296
Ni1 Ni 0.156 0.156 0.576
# - ρ (g/cm³) = 6.21
# - formation energy (kcal/mol of atoms) = -2.75
# - crystal system = tetragonal